First-principles (PBE-GGA) data for crystalline NdSm2InC at its relaxed geometry, as listed in Alexandria.

Properties
formation energy from the elements = -34.9 kJ per mole of atoms
SG = P4/mmm (123)

a = 5.061 Å, b = 5.061 Å, c = 5.126 Å
α = 90.00°, β = 90.00°, γ = 90.00°
Sites, in units of the cell vectors:
Nd1 0.000 0.000 0.000
Sm1 0.000 0.500 0.500
Sm2 0.500 0.000 0.500
In1 0.500 0.500 0.000
C1 0.000 0.000 0.500